one:
The following is a DFT calculation (PBE with a Hubbard U) of a geometry-optimized DyWO5 structure.

Values from the calculation:
space group	P2_1/c, No. 14
crystal system	monoclinic

a = 12.767 Å, b = 5.325 Å, c = 7.002 Å
α = 62.55°, β = 90.00°, γ = 90.00°
Fractional coordinates of all 28 atoms:
O1 0.069 0.325 0.964
O2 0.930 0.007 0.341
O3 0.431 0.325 0.464
O4 0.570 0.007 0.841
O5 0.569 0.675 0.536
O6 0.359 0.782 0.581
O7 0.085 0.490 0.557
O8 0.727 0.788 0.211
O9 0.641 0.218 0.419
O10 0.931 0.675 0.036
O11 0.585 0.510 0.943
O12 0.915 0.510 0.443
O13 0.070 0.993 0.659
O14 0.273 0.212 0.789
O15 0.415 0.490 0.057
O16 0.227 0.212 0.289
O17 0.859 0.218 0.919
O18 0.141 0.782 0.081
O19 0.773 0.788 0.711
O20 0.430 0.993 0.159
W1 0.863 0.879 0.157
W2 0.363 0.121 0.343
W3 0.137 0.121 0.843
W4 0.637 0.879 0.657
Dy1 0.556 0.642 0.216
Dy2 0.444 0.358 0.784
Dy3 0.056 0.358 0.284
Dy4 0.944 0.642 0.716

=====

two:
The following is a DFT calculation (PBE with a Hubbard U) of a geometry-optimized DyWO5 structure.

Values from the calculation:
space group	C2/c, No. 15
crystal system	monoclinic

a = 5.575 Å, b = 5.575 Å, c = 7.660 Å
α = 70.10°, β = 70.10°, γ = 71.12°
Fractional coordinates of all 14 atoms:
O1 0.716 0.302 0.538
O2 0.698 0.284 0.962
O3 0.302 0.716 0.038
O4 0.284 0.698 0.462
O5 0.247 0.213 0.383
O6 0.213 0.247 0.883
O7 0.753 0.787 0.617
O8 0.787 0.753 0.117
O9 0.922 0.078 0.250
O10 0.078 0.922 0.750
W1 0.000 0.000 0.000
W2 0.000 0.000 0.500
Dy1 0.450 0.550 0.750
Dy2 0.550 0.450 0.250

=====

three:
The following is a DFT calculation (PBE with a Hubbard U) of a geometry-optimized DyWO5 structure.

Values from the calculation:
space group	Immm, No. 71
crystal system	orthorhombic

a = 3.860 Å, b = 5.632 Å, c = 5.632 Å
α = 72.17°, β = 69.96°, γ = 69.96°
Fractional coordinates of all 7 atoms:
O1 0.269 0.731 0.731
O2 0.000 0.500 0.500
O3 0.500 0.794 0.206
O4 0.731 0.269 0.269
O5 0.500 0.206 0.794
Dy1 0.000 0.000 0.000
W1 0.500 0.500 0.500

=====

The most stable of them is two.